A relaxed structure of Mg2TaRh, computed with GGA-PBE.

The value obtained for the density of states at the Fermi level is 15.007 states/eV/cell. The final energy comes out at -66.92 eV for the cell shown. The value obtained for the total moment is 0.35 μB/cell. The volume comes out at 209.13 Å³/cell. For the formation energy, the calculation gives 0.0213 eV/atom.

Cell: 2.9357 2.9357 28.0196 Å, 90.00 90.00 120.00°
Space group R-3m (No. 166, hexagonal axes)
Symmetry-distinct sites (fractional):
Mg1 0.0000 0.0000 0.2406 (multiplicity 6)
Ta1 0.0000 0.0000 0.0000 (multiplicity 3)
Rh1 0.0000 0.0000 0.5000 (multiplicity 3)